A relaxed Pr2DyY6Th3 crystal. Source: Alexandria via LeMat-Bulk, functional GGA-PBE.

Calculated formation energy ... 18 meV per atom
Magnetization ... 0.00 Bohr magnetons per cell
V ... 32.7 Å³/atom

Lattice parameters (Å, degrees): 6.2401 6.2401 11.8155 95.07 95.07 120.01
Positions (direct):
Pr1 0.1663 0.8337 0.0000
Pr2 0.8337 0.1663 0.0000
Dy1 0.5000 0.5000 0.0000
Y1 0.0817 0.4146 0.7436
Y2 0.2525 0.2525 0.2567
Y3 0.4146 0.0817 0.7436
Y4 0.5854 0.9183 0.2564
Y5 0.7475 0.7475 0.7433
Y6 0.9183 0.5854 0.2564
Th1 0.0000 0.0000 0.5000
Th2 0.3328 0.6672 0.5000
Th3 0.6672 0.3328 0.5000


A relaxed PrDy2Ti crystal. Source: Alexandria via LeMat-Bulk, functional GGA-PBE.

Excess energy over the best structure of this formula in the dataset ... 0.000 eV/atom
Calculated formation energy ... 162 meV per atom
Magnetization ... 0.00 Bohr magnetons per cell
V ... 28.7 Å³/atom

Lattice parameters (Å, degrees): 3.4113 3.4113 9.8728 90.00 90.00 90.00
Positions (direct):
Pr1 0.0000 0.0000 0.0000
Dy1 0.5000 0.5000 0.2902
Dy2 0.5000 0.5000 0.7098
Ti1 0.0000 0.0000 0.5000


A relaxed PrDy2Ti crystal. Source: Alexandria via LeMat-Bulk, functional GGA-PBE.

Excess energy over the best structure of this formula in the dataset ... 0.281 eV/atom
Calculated formation energy ... 443 meV per atom
Magnetization ... 1.94 Bohr magnetons per cell
V ... 29.5 Å³/atom

Lattice parameters (Å, degrees): 12.0453 12.0453 12.0453 16.16 16.16 16.16
Positions (direct):
Pr1 0.0000 0.0000 0.0000
Dy1 0.4178 0.4178 0.4178
Dy2 0.5822 0.5822 0.5822
Ti1 0.5000 0.5000 0.5000


A relaxed Pr3Dy3Tl2 crystal. Source: Alexandria via LeMat-Bulk, functional GGA-PBE.

Excess energy over the best structure of this formula in the dataset ... 0.011 eV/atom
Calculated formation energy ... -116 meV per atom
Magnetization ... 0.00 Bohr magnetons per cell
V ... 32.5 Å³/atom

Lattice parameters (Å, degrees): 6.6083 6.6083 16.5032 90.00 90.00 133.86
Positions (direct):
Pr1 0.0447 0.9553 0.6050
Pr2 0.0447 0.9553 0.8950
Pr3 0.2822 0.7178 0.7500
Pr4 0.7178 0.2822 0.2500
Pr5 0.9553 0.0447 0.1050
Pr6 0.9553 0.0447 0.3950
Dy1 0.3653 0.6347 0.5387
Dy2 0.3653 0.6347 0.9613
Dy3 0.4363 0.5637 0.2500
Dy4 0.5637 0.4363 0.7500
Dy5 0.6347 0.3653 0.0387
Dy6 0.6347 0.3653 0.4613
Tl1 0.2341 0.7659 0.1260
Tl2 0.2341 0.7659 0.3740
Tl3 0.7659 0.2341 0.6260
Tl4 0.7659 0.2341 0.8740


A relaxed Pr12DyTl3 crystal. Source: Alexandria via LeMat-Bulk, functional GGA-PBE.

Calculated formation energy ... -148 meV per atom
Magnetization ... 0.00 Bohr magnetons per cell
V ... 32.7 Å³/atom

Lattice parameters (Å, degrees): 5.0423 5.0423 20.5827 90.00 90.00 90.00
Positions (direct):
Pr1 0.0000 0.0000 0.0000
Pr2 0.0000 0.0000 0.2459
Pr3 0.0000 0.0000 0.5000
Pr4 0.0000 0.0000 0.7541
Pr5 0.0000 0.5000 0.1231
Pr6 0.0000 0.5000 0.3697
Pr7 0.0000 0.5000 0.6303
Pr8 0.0000 0.5000 0.8769
Pr9 0.5000 0.0000 0.1231
Pr10 0.5000 0.0000 0.3697
Pr11 0.5000 0.0000 0.6303
Pr12 0.5000 0.0000 0.8769
Dy1 0.5000 0.5000 0.5000
Tl1 0.5000 0.5000 0.0000
Tl2 0.5000 0.5000 0.2442
Tl3 0.5000 0.5000 0.7558


A relaxed PrDy3Tl2 crystal. Source: Alexandria via LeMat-Bulk, functional GGA-PBE.

Excess energy over the best structure of this formula in the dataset ... 0.000 eV/atom
Calculated formation energy ... -267 meV per atom
Magnetization ... 0.00 Bohr magnetons per cell
V ... 29.7 Å³/atom

Lattice parameters (Å, degrees): 5.1516 10.1050 6.8515 90.00 90.00 90.00
Positions (direct):
Pr1 0.0000 0.0430 0.0000
Pr2 0.0000 0.9570 0.5000
Dy1 0.0000 0.3182 0.6196
Dy2 0.0000 0.6818 0.1196
Dy3 0.5000 0.1928 0.2761
Dy4 0.5000 0.4556 0.9042
Dy5 0.5000 0.5444 0.4042
Dy6 0.5000 0.8072 0.7761
Tl1 0.0000 0.3685 0.1584
Tl2 0.0000 0.6315 0.6584
Tl3 0.5000 0.1389 0.7359
Tl4 0.5000 0.8611 0.2359


A relaxed Pr3DyTl crystal. Source: Alexandria via LeMat-Bulk, functional GGA-PBE.

Excess energy over the best structure of this formula in the dataset ... 0.000 eV/atom
Calculated formation energy ... -129 meV per atom
Magnetization ... 0.00 Bohr magnetons per cell
V ... 31.9 Å³/atom

Lattice parameters (Å, degrees): 13.2971 13.2971 4.9445 90.00 90.00 158.60
Positions (direct):
Pr1 0.0531 0.9469 0.7500
Pr2 0.2507 0.7493 0.7500
Pr3 0.4441 0.5559 0.7500
Pr4 0.5559 0.4441 0.2500
Pr5 0.7493 0.2507 0.2500
Pr6 0.9469 0.0531 0.2500
Dy1 0.3483 0.6517 0.2500
Dy2 0.6517 0.3483 0.7500
Tl1 0.1535 0.8465 0.2500
Tl2 0.8465 0.1535 0.7500


A relaxed PrDy3Tl2 crystal. Source: Alexandria via LeMat-Bulk, functional GGA-PBE.

Excess energy over the best structure of this formula in the dataset ... 0.091 eV/atom
Calculated formation energy ... -177 meV per atom
Magnetization ... 0.75 Bohr magnetons per cell
V ... 30.4 Å³/atom

Lattice parameters (Å, degrees): 8.7027 8.7027 9.3257 117.61 117.61 36.29
Positions (direct):
Pr1 0.1313 0.1313 0.1727
Pr2 0.8687 0.8687 0.8273
Dy1 0.0603 0.0603 0.7144
Dy2 0.3064 0.3064 0.0087
Dy3 0.3844 0.3844 0.4600
Dy4 0.6156 0.6156 0.5400
Dy5 0.6936 0.6936 0.9913
Dy6 0.9397 0.9397 0.2856
Tl1 0.2223 0.2223 0.5946
Tl2 0.4830 0.4830 0.8288
Tl3 0.5170 0.5170 0.1712
Tl4 0.7777 0.7777 0.4054


A relaxed Pr4Dy10Tl crystal. Source: Alexandria via LeMat-Bulk, functional GGA-PBE.

Calculated formation energy ... 190 meV per atom
Magnetization ... 0.00 Bohr magnetons per cell
V ... 33.3 Å³/atom

Lattice parameters (Å, degrees): 8.9653 8.9653 8.9653 100.19 100.19 130.26
Positions (direct):
Pr1 0.2321 0.2321 0.4642
Pr2 0.2321 0.7679 0.0000
Pr3 0.7679 0.2321 0.0000
Pr4 0.7679 0.7679 0.5359
Dy1 0.0808 0.2865 0.7943
Dy2 0.2500 0.7500 0.5000
Dy3 0.2865 0.0808 0.7943
Dy4 0.2865 0.4922 0.2057
Dy5 0.4922 0.2865 0.2057
Dy6 0.5078 0.7135 0.7943
Dy7 0.7135 0.5078 0.7943
Dy8 0.7135 0.9192 0.2057
Dy9 0.7500 0.2500 0.5000
Dy10 0.9192 0.7135 0.2057
Tl1 0.0000 0.0000 0.0000


A relaxed PrDyTl crystal. Source: Alexandria via LeMat-Bulk, functional GGA-PBE.

Excess energy over the best structure of this formula in the dataset ... 0.014 eV/atom
Calculated formation energy ... -246 meV per atom
Magnetization ... 1.91 Bohr magnetons per cell
V ... 31.8 Å³/atom

Lattice parameters (Å, degrees): 4.7607 4.7607 8.4187 90.00 90.00 90.00
Positions (direct):
Pr1 0.2500 0.2500 0.1475
Pr2 0.7500 0.7500 0.8525
Dy1 0.2500 0.7500 0.5000
Dy2 0.7500 0.2500 0.5000
Tl1 0.2500 0.2500 0.7628
Tl2 0.7500 0.7500 0.2372


A relaxed PrDy3Tl4 crystal. Source: Alexandria via LeMat-Bulk, functional GGA-PBE.

Excess energy over the best structure of this formula in the dataset ... 0.000 eV/atom
Calculated formation energy ... -352 meV per atom
Magnetization ... 0.00 Bohr magnetons per cell
V ... 28.1 Å³/atom

Lattice parameters (Å, degrees): 10.8710 7.6070 5.4345 90.00 90.00 90.00
Positions (direct):
Pr1 0.0000 0.0000 0.0000
Pr2 0.5000 0.0000 0.0000
Dy1 0.0000 0.5000 0.0000
Dy2 0.2500 0.0000 0.4986
Dy3 0.2500 0.5000 0.4985
Dy4 0.5000 0.5000 0.0000
Dy5 0.7500 0.0000 0.5014
Dy6 0.7500 0.5000 0.5015
Tl1 0.0000 0.2575 0.5000
Tl2 0.0000 0.7425 0.5000
Tl3 0.2500 0.2575 0.9984
Tl4 0.2500 0.7425 0.9984
Tl5 0.5000 0.2575 0.5000
Tl6 0.5000 0.7425 0.5000
Tl7 0.7500 0.2575 0.0016
Tl8 0.7500 0.7425 0.0016


A relaxed Pr4DyTl3 crystal. Source: Alexandria via LeMat-Bulk, functional GGA-PBE.

Excess energy over the best structure of this formula in the dataset ... 0.000 eV/atom
Calculated formation energy ... -241 meV per atom
Magnetization ... 1.59 Bohr magnetons per cell
V ... 31.5 Å³/atom

Lattice parameters (Å, degrees): 9.9250 9.9250 9.9250 32.55 32.55 32.55
Positions (direct):
Pr1 0.1145 0.1145 0.1145
Pr2 0.3684 0.3684 0.3684
Pr3 0.6316 0.6316 0.6316
Pr4 0.8855 0.8855 0.8855
Dy1 0.5000 0.5000 0.5000
Tl1 0.0000 0.0000 0.0000
Tl2 0.2364 0.2364 0.2364
Tl3 0.7636 0.7636 0.7636